[1]
Here is a geometry-optimized LaZnAsSe2 structure from Alexandria. Energies are from PBE.

a = 5.747 Å, b = 5.747 Å, c = 6.062 Å
α = 90.00°, β = 90.00°, γ = 90.00°
Positions (direct):
La 0.000 0.000 0.000
Zn 0.500 0.500 0.500
As 0.000 0.000 0.500
Se 0.000 0.500 0.000
Se 0.500 0.000 0.000

---

[2]
Here is a geometry-optimized LaZrAs2Se structure from Alexandria. Energies are from PBE.

a = 5.478 Å, b = 5.478 Å, c = 5.534 Å
α = 90.00°, β = 90.00°, γ = 90.00°
Positions (direct):
La 0.000 0.000 0.000
Zr 0.500 0.500 0.500
As 0.000 0.500 0.000
As 0.500 0.000 0.000
Se 0.000 0.000 0.500

---

no.,mass density (g/cm³),formation energy (no corrections) (meV/atom)
1,3.6,111
2,4.6,463